Density functional theory data (PBE-GGA) for a geometry-optimized PmDyBi structure.

Unit cell a=5.2333 b=5.2333 c=4.0804 alpha=90.00 beta=90.00 gamma=120.00
Space group P3m1 (No. 156)
Asymmetric unit:
1 Pm 0.0000 0.0000 0.0000 x1
2 Dy 0.3333 0.6667 0.4711 x1
3 Bi 0.6667 0.3333 0.6478 x1

Polymorph energy (0 for the lowest one) = 345 meV per atom
ΔH_f (0 K) = -0.29 eV/atom
Calculated total energy = -4.6982 eV/atom
Magnetization = 0.000 μB per atom